Density functional theory data (PBE) for a relaxed CePHRu2 crystal.

It has space group Cmcm (No. 63), with a = 3.846 Å, b = 10.724 Å, c = 6.956 Å, α = 90.00°, β = 90.00° and γ = 90.00°. Symmetry generates all atoms from Ce at (0.000, 0.066, 0.250), P at (0.000, 0.215, 0.750), H at (0.000, 0.500, 0.000) and Ru at (0.000, 0.337, 0.050).

For the raw total energy, the calculation gives -7.261 eV per atom. As for the crystal system: orthorhombic.


Density functional theory data (PBE) for a relaxed Ac8AsRu3Br4 crystal.

It has space group R-3m (No. 166, hexagonal axes), with a = 8.8224 Å, b = 8.8224 Å, c = 24.4280 Å, α = 90.00°, β = 90.00° and γ = 120.00°. Symmetry generates all atoms from Ac at (0.0000, 0.0000, 0.2348), Ac at (0.0171, 0.5085, 0.7691), As at (0.0000, 0.0000, 0.5000), Ru at (0.0000, 0.5000, 0.5000), Br at (0.0000, 0.0000, 0.0000) and Br at (0.0000, 0.5000, 0.0000).

The uncorrected formation energy comes out at -0.971 eV/atom. For the raw total energy, the calculation gives -5.474 eV per atom. As for the crystal system: trigonal.


Density functional theory data (PBE) for a relaxed Li5Ni9P7 crystal.

It has space group P-6 (No. 174), with a = 9.0193 Å, b = 9.0193 Å, c = 3.6510 Å, α = 90.00°, β = 90.00° and γ = 120.00°. Symmetry generates all atoms from Li at (0.0000, 0.0000, 0.0000), Li at (0.2197, 0.4513, 0.0000), Li at (0.6667, 0.3333, 0.5000), Ni at (0.0457, 0.5472, 0.5000), Ni at (0.2774, 0.0395, 0.5000), Ni at (0.3795, 0.2751, 0.0000), P at (0.0322, 0.7890, 0.5000), P at (0.3333, 0.6667, 0.5000) and P at (0.4601, 0.0804, 0.0000).

For the raw total energy, the calculation gives -5.373 eV per atom. As for the crystal system: hexagonal. The energy relative to the elements is -0.64 eV per atom.


Density functional theory data (PBE) for a relaxed Cs2SrSb2O6 crystal.

It has space group C2/m (No. 12), with a = 11.470 Å, b = 6.658 Å, c = 7.867 Å, α = 90.00°, β = 121.83° and γ = 90.00°. Symmetry generates all atoms from Cs at (0.210, 0.000, 0.188), Sr at (0.000, 0.000, 0.500), Sb at (0.049, 0.500, 0.211), O at (0.029, 0.263, 0.751) and O at (0.243, 0.500, 0.363).

The uncorrected formation energy comes out at -1.679 eV/atom. For the raw total energy, the calculation gives -5.441 eV per atom. As for the crystal system: monoclinic.


Density functional theory data (PBE) for a relaxed Sm2Y5Th4 crystal.

It has space group C2/m (No. 12), with a = 24.367 Å, b = 3.515 Å, c = 8.607 Å, α = 90.00°, β = 94.44° and γ = 90.00°. Symmetry generates all atoms from Sm at (0.225, 0.000, 0.326), Y at (0.000, 0.000, 0.500), Y at (0.130, 0.500, 0.544), Y at (0.184, 0.500, 0.972), Th at (0.044, 0.500, 0.852) and Th at (0.085, 0.000, 0.185).

The value obtained for the distance to the lowest polymorph of the same formula is 0.0 meV per atom. For the raw total energy, the calculation gives -6.369 eV per atom. As for the crystal system: monoclinic. The energy relative to the elements is 0.13 eV per atom.


Density functional theory data (PBE) for a relaxed Sr4Cd5Bi7 crystal.

It has space group I-42m (No. 121), with a = 6.673 Å, b = 6.673 Å, c = 22.653 Å, α = 90.00°, β = 90.00° and γ = 90.00°. Symmetry generates all atoms from Sr at (0.241, 0.241, 0.382), Cd at (0.000, 0.000, 0.000), Cd at (0.000, 0.000, 0.252), Cd at (0.000, 0.500, 0.250), Bi at (0.000, 0.000, 0.500), Bi at (0.000, 0.500, 0.000) and Bi at (0.242, 0.242, 0.160).

For the raw total energy, the calculation gives -2.853 eV per atom. As for the crystal system: tetragonal. The energy relative to the elements is -0.45 eV per atom.


Density functional theory data (PBE) for a relaxed ZnSi2Os2 crystal.

It has space group P4/mbm (No. 127), with a = 7.042 Å, b = 7.042 Å, c = 2.819 Å, α = 90.00°, β = 90.00° and γ = 90.00°. Symmetry generates all atoms from Zn at (0.000, 0.000, 0.000), Si at (0.141, 0.359, 0.000) and Os at (0.154, 0.654, 0.500).

The uncorrected formation energy comes out at -0.083 eV/atom. For the raw total energy, the calculation gives -6.998 eV per atom. As for the crystal system: tetragonal.


Density functional theory data (PBE) for a relaxed BaCdPt2Au crystal.

It has space group Imm2 (No. 44), with a = 4.285 Å, b = 4.347 Å, c = 12.630 Å, α = 90.00°, β = 90.00° and γ = 90.00°. Symmetry generates all atoms from Ba at (0.000, 0.000, 0.000), Cd at (0.000, 0.500, 0.761), Pt at (0.000, 0.000, 0.403), Pt at (0.000, 0.500, 0.268) and Au at (0.000, 0.000, 0.616).

For the raw total energy, the calculation gives -4.091 eV per atom. As for the crystal system: orthorhombic. The energy relative to the elements is -0.45 eV per atom.


| no. | theoretical density (g/cm3) |
| --- | --- |
| 1 | 8.66 |
| 2 | 7.61 |
| 3 | 5.03 |
| 4 | 4.51 |
| 5 | 7.56 |
| 6 | 7.82 |
| 7 | 11.93 |
| 8 | 11.81 |